<one>
A geometry-optimized NiAs2Os structure, computed with PBE.

- SG = Imm2
- D(E_F) (states/eV/f.u.) = 2.5

abc: 5.295 5.295 5.295
angles: 146.48 132.57 59.33
Fractional coordinates of all 4 atoms:
Ni 0.000 0.000 0.000
As 0.505 0.505 0.000
As 0.784 0.284 0.500
Os 0.276 0.776 0.500

<two>
A geometry-optimized NiAs2Os structure, computed with PBE.

- SG = Fm-3m
- D(E_F) (states/eV/f.u.) = 5.2

abc: 4.344 4.344 4.344
angles: 60.00 60.00 60.00
Fractional coordinates of all 4 atoms:
Ni 0.000 0.000 0.000
As 0.250 0.250 0.250
As 0.750 0.750 0.750
Os 0.500 0.500 0.500

Which structure wins on stability? <two> wins.

<one>
A geometry-optimized NiAsOs3 structure, computed with PBE.

- SG = Pm-3m
- D(E_F) (states/eV/f.u.) = 8.2

abc: 4.493 4.493 4.493
angles: 90.00 90.00 90.00
Fractional coordinates of all 5 atoms:
Ni 0.000 0.000 0.000
As 0.500 0.500 0.500
Os 0.000 0.500 0.500
Os 0.500 0.000 0.500
Os 0.500 0.500 0.000

<two>
A geometry-optimized NiAsOs3 structure, computed with PBE.

- SG = Pm-3m
- D(E_F) (states/eV/f.u.) = 8.1

abc: 4.446 4.446 4.446
angles: 90.00 90.00 90.00
Fractional coordinates of all 5 atoms:
Ni 0.000 0.000 0.000
As 0.500 0.500 0.500
Os 0.000 0.000 0.500
Os 0.000 0.500 0.000
Os 0.500 0.000 0.000

Which structure wins on stability? <one> wins.

<one>
A geometry-optimized NiAsOsSe2 structure, computed with PBE.

- SG = P4/mmm
- D(E_F) (states/eV/f.u.) = 7.8

abc: 4.990 4.990 4.634
angles: 90.00 90.00 90.00
Fractional coordinates of all 5 atoms:
Ni 0.000 0.000 0.000
As 0.500 0.500 0.000
Os 0.500 0.500 0.500
Se 0.000 0.500 0.500
Se 0.500 0.000 0.500

<two>
A geometry-optimized NiAsOsSe2 structure, computed with PBE.

- SG = P4/mmm
- D(E_F) (states/eV/f.u.) = 6.0

abc: 4.582 4.582 4.401
angles: 90.00 90.00 90.00
Fractional coordinates of all 5 atoms:
Ni 0.000 0.000 0.000
As 0.000 0.000 0.500
Os 0.500 0.500 0.500
Se 0.000 0.500 0.000
Se 0.500 0.000 0.000

Which structure wins on stability? <one> wins.

<one>
A geometry-optimized Ni8As2P structure, computed with PBE.

- SG = C2/m
- D(E_F) (states/eV/f.u.) = 5.7

abc: 6.734 6.734 5.706
angles: 112.37 112.37 32.91
Fractional coordinates of all 11 atoms:
Ni 0.027 0.027 0.313
Ni 0.191 0.191 0.781
Ni 0.336 0.336 0.560
Ni 0.412 0.412 0.069
Ni 0.588 0.588 0.931
Ni 0.664 0.664 0.440
Ni 0.809 0.809 0.219
Ni 0.973 0.973 0.687
As 0.176 0.176 0.175
As 0.824 0.824 0.825
P 0.500 0.500 0.500

<two>
A geometry-optimized Ni8As2P structure, computed with PBE.

- SG = Immm
- D(E_F) (states/eV/f.u.) = 7.4

abc: 6.516 6.516 6.516
angles: 147.30 118.03 71.85
Fractional coordinates of all 11 atoms:
Ni 0.100 0.338 0.762
Ni 0.127 0.127 0.000
Ni 0.310 0.000 0.310
Ni 0.424 0.662 0.762
Ni 0.576 0.338 0.238
Ni 0.690 0.000 0.690
Ni 0.873 0.873 0.000
Ni 0.900 0.662 0.238
As 0.315 0.815 0.500
As 0.685 0.185 0.500
P 0.000 0.500 0.500

Which structure wins on stability? <one> wins.

<one>
A geometry-optimized Ni3AsP structure, computed with PBE.

- SG = Pm-3m
- D(E_F) (states/eV/f.u.) = 7.1

abc: 4.189 4.189 4.189
angles: 90.00 90.00 90.00
Fractional coordinates of all 5 atoms:
Ni 0.000 0.000 0.500
Ni 0.000 0.500 0.000
Ni 0.500 0.000 0.000
As 0.500 0.500 0.500
P 0.000 0.000 0.000

<two>
A geometry-optimized Ni3AsP structure, computed with PBE.

- SG = P2_1/c
- D(E_F) (states/eV/f.u.) = 2.1

abc: 6.406 5.627 7.257
angles: 90.00 96.94 90.00
Fractional coordinates of all 20 atoms:
Ni 0.095 0.138 0.112
Ni 0.095 0.362 0.612
Ni 0.196 0.536 0.942
Ni 0.196 0.964 0.442
Ni 0.275 0.045 0.814
Ni 0.275 0.455 0.314
Ni 0.725 0.545 0.686
Ni 0.725 0.955 0.186
Ni 0.804 0.036 0.558
Ni 0.804 0.464 0.058
Ni 0.905 0.638 0.388
Ni 0.905 0.862 0.888
As 0.458 0.247 0.592
As 0.458 0.253 0.092
As 0.542 0.747 0.908
As 0.542 0.753 0.408
P 0.077 0.742 0.663
P 0.077 0.758 0.163
P 0.923 0.242 0.837
P 0.923 0.258 0.337

Which structure wins on stability? <two> wins.

<one>
A geometry-optimized Ni2AsP2 structure, computed with PBE.

- SG = P4/mbm
- D(E_F) (states/eV/f.u.) = 3.3

abc: 7.102 7.102 2.681
angles: 90.00 90.00 90.00
Fractional coordinates of all 10 atoms:
Ni 0.124 0.376 0.000
Ni 0.376 0.876 0.000
Ni 0.624 0.124 0.000
Ni 0.876 0.624 0.000
As 0.000 0.000 0.500
As 0.500 0.500 0.500
P 0.158 0.658 0.500
P 0.342 0.158 0.500
P 0.658 0.842 0.500
P 0.842 0.342 0.500

<two>
A geometry-optimized Ni2AsP2 structure, computed with PBE.

- SG = I4/mmm
- D(E_F) (states/eV/f.u.) = 2.9

abc: 5.285 5.285 5.285
angles: 136.33 136.33 63.47
Fractional coordinates of all 5 atoms:
Ni 0.250 0.750 0.500
Ni 0.750 0.250 0.500
As 0.000 0.000 0.000
P 0.377 0.377 0.000
P 0.623 0.623 0.000

Which structure wins on stability? <two> wins.